Arrangement A

Hg3PbN | PBE | optimized geometry

Values from the calculation:
Space group: Pm-3m, No. 221

a = 4.8873 Å, b = 4.8873 Å, c = 4.8873 Å
α = 90.00°, β = 90.00°, γ = 90.00°
With the nearest neighbours (Å) after each atom.
Element x y z (fractional)
Hg 0.0000 0.0000 0.5000  2 N 2.44
Hg 0.0000 0.5000 0.0000  2 N 2.44
Hg 0.5000 0.0000 0.0000  2 N 2.44
Pb 0.5000 0.5000 0.5000  12 Hg 3.46
N 0.0000 0.0000 0.0000  6 Hg 2.44


Arrangement B

Hg3PbN | PBE | optimized geometry

Values from the calculation:
Space group: P-1, No. 2

a = 3.9837 Å, b = 7.9840 Å, c = 8.4322 Å
α = 95.29°, β = 90.10°, γ = 104.33°
With the nearest neighbours (Å) after each atom.
Element x y z (fractional)
Hg 0.0173 0.0318 0.2560  1 N 2.26
Hg 0.2150 0.4330 0.7451  1 N 2.24
Hg 0.3837 0.7669 0.9751  2 N 2.23
Hg 0.6163 0.2331 0.0249  2 N 2.23
Hg 0.7850 0.5670 0.2549  1 N 2.24
Hg 0.9827 0.9682 0.7440  1 N 2.26
Pb 0.3654 0.7318 0.5569  3 Hg 2.93-3.04
Pb 0.6346 0.2682 0.4431  3 Hg 2.93-3.04
N 0.1088 0.2185 0.9052  4 Hg 2.23-2.26
N 0.8912 0.7815 0.0948  4 Hg 2.23-2.26


Arrangement C

Hg3PbN | PBE | optimized geometry

Values from the calculation:
Space group: Pm-3m, No. 221

a = 6.0786 Å, b = 6.0786 Å, c = 6.0786 Å
α = 90.00°, β = 90.00°, γ = 90.00°
With the nearest neighbours (Å) after each atom.
Element x y z (fractional)
Hg 0.0000 0.0000 0.5000  2 Pb 3.04
Hg 0.0000 0.5000 0.0000  2 Pb 3.04
Hg 0.5000 0.0000 0.0000  2 Pb 3.04
Pb 0.0000 0.0000 0.0000  6 Hg 3.04
N 0.5000 0.5000 0.5000  12 Hg 4.30


Short version: arrangement C is the least stable of them.


Arrangement A

Hg2Pb2N | PBE | optimized geometry

Values from the calculation:
Space group: I4/mmm, No. 139

a = 4.4136 Å, b = 4.4136 Å, c = 14.8901 Å
α = 90.00°, β = 90.00°, γ = 90.00°
With the nearest neighbours (Å) after each atom.
Element x y z (fractional)
Hg 0.0000 0.0000 0.0906  1 Hg 2.70
Hg 0.0000 0.0000 0.9094  1 Hg 2.70
Hg 0.5000 0.5000 0.4094  1 Hg 2.70
Hg 0.5000 0.5000 0.5906  1 Hg 2.70
Pb 0.0000 0.5000 0.2500  4 Pb 3.12, 4 Hg 3.24
Pb 0.0000 0.5000 0.7500  4 Pb 3.12, 4 Hg 3.24
Pb 0.5000 0.0000 0.2500  4 Pb 3.12, 4 Hg 3.24
Pb 0.5000 0.0000 0.7500  4 Pb 3.12, 4 Hg 3.24
N 0.0000 0.0000 0.5000  8 Hg 3.40
N 0.5000 0.5000 0.0000  8 Hg 3.40


Arrangement B

Hg2Pb2N | PBE | optimized geometry

Values from the calculation:
Space group: P4/mbm, No. 127

a = 6.4592 Å, b = 6.4592 Å, c = 5.8538 Å
α = 90.00°, β = 90.00°, γ = 90.00°
With the nearest neighbours (Å) after each atom.
Element x y z (fractional)
Hg 0.1648 0.3352 0.0000  2 N 2.41
Hg 0.3352 0.8352 0.0000  2 N 2.41
Hg 0.6648 0.1648 0.0000  2 N 2.41
Hg 0.8352 0.6648 0.0000  2 N 2.41
Pb 0.1824 0.6824 0.5000  2 Hg 3.24, 5 Pb 3.33-3.35
Pb 0.3176 0.1824 0.5000  2 Hg 3.24, 5 Pb 3.33-3.35
Pb 0.6824 0.8176 0.5000  2 Hg 3.24, 5 Pb 3.33-3.35
Pb 0.8176 0.3176 0.5000  2 Hg 3.24, 5 Pb 3.33-3.35
N 0.0000 0.0000 0.0000  4 Hg 2.41
N 0.5000 0.5000 0.0000  4 Hg 2.41


Short version: arrangement A is the least stable of them.


Arrangement A

HgPbSe2N | PBE | optimized geometry

Values from the calculation:
Space group: P4/mmm, No. 123

a = 5.4514 Å, b = 5.4514 Å, c = 4.2184 Å
α = 90.00°, β = 90.00°, γ = 90.00°
With the nearest neighbours (Å) after each atom.
Element x y z (fractional)
Hg 0.0000 0.0000 0.0000  2 N 2.11
Pb 0.5000 0.5000 0.5000  8 Se 3.45, 4 N 3.85
Se 0.0000 0.5000 0.0000  2 Hg 2.73
Se 0.5000 0.0000 0.0000  2 Hg 2.73
N 0.0000 0.0000 0.5000  2 Hg 2.11


Arrangement B

HgPbSe2N | PBE | optimized geometry

Values from the calculation:
Space group: P4/mmm, No. 123

a = 5.5621 Å, b = 5.5621 Å, c = 4.4557 Å
α = 90.00°, β = 90.00°, γ = 90.00°
With the nearest neighbours (Å) after each atom.
Element x y z (fractional)
Hg 0.0000 0.0000 0.0000  8 Se 3.56, 4 N 3.93
Pb 0.5000 0.5000 0.5000  2 N 2.23
Se 0.0000 0.5000 0.5000  2 Pb 2.78
Se 0.5000 0.0000 0.5000  2 Pb 2.78
N 0.5000 0.5000 0.0000  2 Pb 2.23


Short version: arrangement B is the least stable of them.


Arrangement A

HgTePbN2 | PBE | optimized geometry

Values from the calculation:
Space group: P4/mmm, No. 123

a = 4.4366 Å, b = 4.4366 Å, c = 6.5203 Å
α = 90.00°, β = 90.00°, γ = 90.00°
With the nearest neighbours (Å) after each atom.
Element x y z (fractional)
Hg 0.0000 0.0000 0.0000  4 Te 3.14
Te 0.5000 0.5000 0.0000  4 Hg 3.14, 2 Pb 3.26
Pb 0.5000 0.5000 0.5000  4 N 2.22
N 0.0000 0.5000 0.5000  2 Pb 2.22
N 0.5000 0.0000 0.5000  2 Pb 2.22


Arrangement B

HgTePbN2 | PBE | optimized geometry

Values from the calculation:
Space group: P4/mmm, No. 123

a = 4.5270 Å, b = 4.5270 Å, c = 5.9995 Å
α = 90.00°, β = 90.00°, γ = 90.00°
With the nearest neighbours (Å) after each atom.
Element x y z (fractional)
Hg 0.0000 0.0000 0.0000  4 N 2.26
Te 0.0000 0.0000 0.5000  2 Hg 3.00, 4 Pb 3.20
Pb 0.5000 0.5000 0.5000  4 Te 3.20
N 0.0000 0.5000 0.0000  2 Hg 2.26
N 0.5000 0.0000 0.0000  2 Hg 2.26


Short version: arrangement B is the least stable of them.


Arrangement A

HgPdSeN2 | PBE | optimized geometry

Values from the calculation:
Space group: P4/mmm, No. 123

a = 3.8016 Å, b = 3.8016 Å, c = 7.0664 Å
α = 90.00°, β = 90.00°, γ = 90.00°
With the nearest neighbours (Å) after each atom.
Element x y z (fractional)
Hg 0.0000 0.0000 0.0000  4 Pd 2.69
Pd 0.5000 0.5000 0.0000  4 Hg 2.69
Se 0.0000 0.0000 0.5000  4 N 1.90
N 0.0000 0.5000 0.5000  2 Se 1.90
N 0.5000 0.0000 0.5000  2 Se 1.90


Arrangement B

HgPdSeN2 | PBE | optimized geometry

Values from the calculation:
Space group: P4/mmm, No. 123

a = 4.1400 Å, b = 4.1400 Å, c = 5.8655 Å
α = 90.00°, β = 90.00°, γ = 90.00°
With the nearest neighbours (Å) after each atom.
Element x y z (fractional)
Hg 0.0000 0.0000 0.0000  4 N 2.07
Pd 0.5000 0.5000 0.5000  4 Se 2.93
Se 0.0000 0.0000 0.5000  4 Pd 2.93, 2 Hg 2.93
N 0.0000 0.5000 0.0000  2 Hg 2.07
N 0.5000 0.0000 0.0000  2 Hg 2.07


Arrangement C

HgPdSeN2 | PBE | optimized geometry

Values from the calculation:
Space group: P4/mmm, No. 123

a = 3.9061 Å, b = 3.9061 Å, c = 5.8453 Å
α = 90.00°, β = 90.00°, γ = 90.00°
With the nearest neighbours (Å) after each atom.
Element x y z (fractional)
Hg 0.0000 0.0000 0.0000  4 Se 2.76
Pd 0.5000 0.5000 0.5000  4 N 1.95
Se 0.5000 0.5000 0.0000  4 Hg 2.76, 2 Pd 2.92
N 0.0000 0.5000 0.5000  2 Pd 1.95
N 0.5000 0.0000 0.5000  2 Pd 1.95


Short version: arrangement B is the least stable of them.


Arrangement A

HgTe2PdN | PBE | optimized geometry

Values from the calculation:
Space group: P4/mmm, No. 123

a = 5.7449 Å, b = 5.7449 Å, c = 3.9493 Å
α = 90.00°, β = 90.00°, γ = 90.00°
With the nearest neighbours (Å) after each atom.
Element x y z (fractional)
Hg 0.0000 0.0000 0.0000  2 N 1.97
Te 0.0000 0.5000 0.0000  2 Hg 2.87
Te 0.5000 0.0000 0.0000  2 Hg 2.87
Pd 0.5000 0.5000 0.5000  8 Te 3.49
N 0.0000 0.0000 0.5000  2 Hg 1.97


Arrangement B

HgTe2PdN | PBE | optimized geometry

Values from the calculation:
Space group: P4/mmm, No. 123

a = 5.6902 Å, b = 5.6902 Å, c = 3.6931 Å
α = 90.00°, β = 90.00°, γ = 90.00°
With the nearest neighbours (Å) after each atom.
Element x y z (fractional)
Hg 0.0000 0.0000 0.0000  8 Te 3.39, 2 Hg 3.69
Te 0.0000 0.5000 0.5000  2 Pd 2.85
Te 0.5000 0.0000 0.5000  2 Pd 2.85
Pd 0.5000 0.5000 0.5000  2 N 1.85
N 0.5000 0.5000 0.0000  2 Pd 1.85


Short version: arrangement A is the least stable of them.